No. 1
HfCuRu2 | PBE | relaxed

Lattice parameters (Å, degrees): 3.901 3.901 9.282 77.87 77.87 90.00
Positions (direct):
1 Ru 0.562 0.125 0.250
2 Ru 0.188 0.625 0.250
3 Ru 0.375 0.438 0.750
4 Ru 0.875 0.812 0.750
5 Hf 0.000 0.000 0.000
6 Hf 0.750 0.250 0.500
7 Cu 0.500 0.500 0.000
8 Cu 0.250 0.750 0.500

Results
- N(E_F): 3.57 states/eV/f.u.
- ΔH_f (0 K): 251 meV per atom
- Volume: 134.87 Å³/cell

No. 2
DyBeSi2Tc | PBE | relaxed

Lattice parameters (Å, degrees): 3.893 3.893 5.922 109.19 109.19 90.00
Positions (direct):
1 Dy 0.000 0.000 0.000
2 Be 0.250 0.750 0.500
3 Si 0.617 0.617 0.234
4 Si 0.383 0.383 0.766
5 Tc 0.750 0.250 0.500

Results
- Formation energy from raw total energies: -240 kJ/mol of formula units
- N(E_F): 3.46 states/eV/f.u.
- Volume: 79.47 Å³/cell

No. 3
PmMgZr | PBE | relaxed

Lattice parameters (Å, degrees): 3.342 3.342 8.319 90.00 90.00 120.00
Positions (direct):
1 Mg 0.000 0.000 0.016
2 Zr 0.667 0.333 0.330
3 Pm 0.333 0.667 0.654

Results
- N(E_F): 3.67 states/eV/f.u.
- ΔH_f (0 K): 115 meV per atom
- Energy above the lowest structure with this stoichiometry: 0.0704 eV per atom
- Volume: 80.46 Å³/cell

No. 4
BeMoS2Cl | PBE | relaxed

Lattice parameters (Å, degrees): 4.519 4.519 4.098 90.00 90.00 90.00
Each line ends with the local moment (μB).
Positions (direct):
1 Be 0.000 0.000 0.000  0.01
2 Mo 0.500 0.500 0.500  3.02
3 S 0.000 0.500 0.000  -0.18
4 S 0.500 0.000 0.000  -0.18
5 Cl 0.000 0.000 0.500  0.00

Results
- Formation energy from raw total energies: 166 kJ/mol of formula units
- N(E_F): 2.15 states/eV/f.u.
- Energy above the lowest structure with this stoichiometry: 0.0000 eV per atom
- Volume: 83.70 Å³/cell

No. 5
PmY3Ho7 | PBE | relaxed

Lattice parameters (Å, degrees): 8.618 7.037 7.037 120.00 90.00 90.00
Positions (direct):
1 Pm 0.445 0.333 0.667
2 Y 0.784 0.500 0.500
3 Y 0.784 0.500 0.001
4 Y 0.784 0.999 0.500
5 Ho 0.118 0.168 0.832
6 Ho 0.118 0.168 0.336
7 Ho 0.121 0.667 0.333
8 Ho 0.448 0.832 0.168
9 Ho 0.448 0.336 0.168
10 Ho 0.448 0.832 0.664
11 Ho 0.118 0.664 0.832

Results
- N(E_F): 18.11 states/eV/f.u.
- ΔH_f (0 K): 196 meV per atom
- Energy above the lowest structure with this stoichiometry: 0.0404 eV per atom
- Volume: 369.62 Å³/cell

No. 6
ZrBePb2 | PBE | relaxed

Lattice parameters (Å, degrees): 3.378 4.096 6.721 90.00 90.00 90.00
Positions (direct):
1 Pb 0.000 0.000 0.977
2 Pb 0.500 0.500 0.287
3 Be 0.500 0.500 0.694
4 Zr 0.000 0.000 0.541

Results
- N(E_F): 2.05 states/eV/f.u.
- ΔH_f (0 K): 285 meV per atom
- Volume: 92.99 Å³/cell